No. 1
An optimized crystal structure of SrCaGa, computed with GGA-PBE.

Cell and atoms, written as extended XYZ:
```
3
Lattice="5.384 0.000 0.000 2.692 4.662 0.000 2.692 1.554 4.396" Properties=species:S:1:pos:R:3 pbc="T T T"
Ca 5.384 3.108 2.198
Ga 2.692 1.554 1.099
Sr 0.000 0.000 0.000
```

Output
* V: 110 Å³/cell
* spin magnetization: 0.96 μB per formula unit
* energy of formation: -193 meV/atom
* density of states at the Fermi level: 4.05 states/eV per cell
* symmetry: F-43m


No. 2
An optimized crystal structure of CePmMgZr, computed with GGA-PBE.

Cell and atoms, written as extended XYZ:
```
4
Lattice="-3.954 -3.471 1.014 0.187 -4.948 -2.048 0.878 -4.198 3.212" Properties=species:S:1:pos:R:3 pbc="T T T"
Ce -2.167 -9.462 1.634
Zr -1.444 -6.308 1.089
Pm -0.722 -3.154 0.545
Mg 0.000 0.000 0.000
```

Output
* V: 109 Å³/cell
* spin magnetization: 0.50 μB per formula unit
* energy of formation: 151 meV/atom
* density of states at the Fermi level: 7.88 states/eV per cell
* symmetry: F-43m


No. 3
An optimized crystal structure of Pm2Sm3HoTm6, computed with GGA-PBE.

Cell and atoms, written as extended XYZ:
```
12
Lattice="-4.716 3.654 1.542 -0.593 -6.121 0.387 5.560 1.139 10.216" Properties=species:S:1:pos:R:3 pbc="T T T"
Pm -1.968 -2.861 0.772
Pm -3.341 0.394 1.157
Tm 0.877 -2.624 8.922
Tm -0.626 1.295 3.223
Tm 0.747 -1.960 2.839
Tm -0.496 0.632 9.306
Tm -2.595 -1.567 4.000
Tm 2.847 0.239 8.146
Sm 1.500 -3.922 5.688
Sm 0.126 -0.664 6.073
Sm -1.249 2.594 6.457
Ho 0.000 0.000 0.000
```

Output
* V: 378 Å³/cell
* spin magnetization: 0.00 μB per formula unit
* energy of formation: 18 meV/atom
* density of states at the Fermi level: 13.98 states/eV per cell
* symmetry: C2/m